No. 1
Below is a relaxed K3HgH crystal, with properties calculated at the PBE-GGA level.

Geometry as POSCAR:
```
K3HgH
1.0
5.552 0.000 0.000
0.000 5.552 0.000
0.000 0.000 5.552
K Hg H
3 1 1
direct
0.000 0.000 0.500 K
0.000 0.500 0.000 K
0.500 0.000 0.000 K
0.500 0.500 0.500 Hg
0.000 0.000 0.000 H
```

Computed properties:
For the density of states at the Fermi level, the calculation gives 0.753 states/eV per atom. For the size of the total moment, the calculation gives 0.00 μB/f.u. Its energy relative to the lowest polymorph listed for this composition is 0.000 eV per atom.



No. 2
Below is a relaxed TlTe2As2 crystal, with properties calculated at the PBE-GGA level.

Geometry as POSCAR:
```
TlTe2As2
1.0
3.890 0.000 0.000
0.000 3.890 0.000
0.000 0.000 18.458
Tl Te As
2 4 4
direct
0.000 0.000 0.000 Tl
0.500 0.500 0.500 Tl
0.000 0.000 0.385 Te
0.000 0.000 0.615 Te
0.500 0.500 0.115 Te
0.500 0.500 0.885 Te
0.000 0.500 0.250 As
0.000 0.500 0.750 As
0.500 0.000 0.250 As
0.500 0.000 0.750 As
```

Computed properties:
For the density of states at the Fermi level, the calculation gives 0.422 states/eV per atom. For the size of the total moment, the calculation gives 0.00 μB/f.u. Its energy relative to the lowest polymorph listed for this composition is 0.116 eV per atom.



No. 3
Below is a relaxed Ba2YMgAs crystal, with properties calculated at the PBE-GGA level.

Geometry as POSCAR:
```
Ba2YMgAs
1.0
6.428 0.000 0.000
0.000 6.428 0.000
0.000 0.000 5.462
Ba Y Mg As
2 1 1 1
direct
0.000 0.500 0.000 Ba
0.500 0.000 0.000 Ba
0.000 0.000 0.500 Y
0.500 0.500 0.500 Mg
0.000 0.000 0.000 As
```

Computed properties:
For the density of states at the Fermi level, the calculation gives 1.323 states/eV per atom. For the size of the total moment, the calculation gives 0.64 μB/f.u. The value obtained for the formation energy is -0.337 eV/atom.



No. 4
Below is a relaxed Pm6Pt2O crystal, with properties calculated at the PBE-GGA level.

Geometry as POSCAR:
```
Pm6Pt2O
1.0
6.589 0.000 0.000
0.000 7.224 0.000
-6.332 0.000 9.927
Pm Pt O
12 4 2
direct
0.113 0.030 0.242 Pm
0.113 0.470 0.742 Pm
0.232 0.686 0.062 Pm
0.232 0.814 0.562 Pm
0.375 0.176 0.060 Pm
0.375 0.324 0.560 Pm
0.625 0.676 0.440 Pm
0.625 0.824 0.940 Pm
0.768 0.186 0.438 Pm
0.768 0.314 0.938 Pm
0.887 0.530 0.258 Pm
0.887 0.970 0.758 Pm
0.312 0.108 0.754 Pt
0.312 0.392 0.254 Pt
0.688 0.608 0.746 Pt
0.688 0.892 0.246 Pt
0.000 0.000 0.000 O
0.000 0.500 0.500 O
```

Computed properties:
For the density of states at the Fermi level, the calculation gives 0.949 states/eV per atom. The total DFT energy (no corrections) comes out at -6.24 eV per atom. For the size of the total moment, the calculation gives 0.00 μB/f.u.



No. 5
Below is a relaxed Rb3Ac3MnSe8 crystal, with properties calculated at the PBE-GGA level.

Geometry as POSCAR:
```
Rb3Ac3MnSe8
1.0
4.420 2.552 8.181
-4.420 2.552 8.181
0.000 -5.103 8.181
Rb Ac Mn Se
3 3 1 8
direct
0.000 0.500 0.500 Rb
0.500 0.000 0.500 Rb
0.500 0.500 0.000 Rb
0.000 0.000 0.500 Ac
0.000 0.500 0.000 Ac
0.500 0.000 0.000 Ac
0.500 0.500 0.500 Mn
0.237 0.237 0.237 Se
0.278 0.702 0.702 Se
0.298 0.298 0.722 Se
0.298 0.722 0.298 Se
0.702 0.278 0.702 Se
0.702 0.702 0.278 Se
0.722 0.298 0.298 Se
0.763 0.763 0.763 Se
```

Computed properties:
The total DFT energy (no corrections) comes out at -4.91 eV per atom. For the size of the total moment, the calculation gives 2.94 μB/f.u.



No. 6
Below is a relaxed La2TlTeRu crystal, with properties calculated at the PBE-GGA level.

Geometry as POSCAR:
```
La2TlTeRu
1.0
5.425 0.000 0.000
0.000 5.425 0.000
0.000 0.000 5.255
La Tl Te Ru
2 1 1 1
direct
0.000 0.500 0.000 La
0.500 0.000 0.000 La
0.000 0.000 0.500 Tl
0.500 0.500 0.500 Te
0.000 0.000 0.000 Ru
```

Computed properties:
For the density of states at the Fermi level, the calculation gives 0.460 states/eV per atom. The total DFT energy (no corrections) comes out at -5.58 eV per atom. For the size of the total moment, the calculation gives 0.00 μB/f.u.



No. 7
Below is a relaxed Th5Ga2Pb crystal, with properties calculated at the PBE-GGA level.

Geometry as POSCAR:
```
Th5Ga2Pb
1.0
-4.032 4.032 7.079
4.032 -4.032 7.079
4.032 4.032 -7.079
Th Ga Pb
10 4 2
direct
0.000 0.000 0.000 Th
0.014 0.514 0.821 Th
0.193 0.014 0.500 Th
0.307 0.807 0.821 Th
0.486 0.307 0.500 Th
0.500 0.500 0.000 Th
0.514 0.693 0.500 Th
0.693 0.193 0.179 Th
0.807 0.986 0.500 Th
0.986 0.486 0.179 Th
0.131 0.369 0.500 Ga
0.369 0.869 0.239 Ga
0.631 0.131 0.761 Ga
0.869 0.631 0.500 Ga
0.250 0.250 0.000 Pb
0.750 0.750 0.000 Pb
```

Computed properties:
For the density of states at the Fermi level, the calculation gives 1.243 states/eV per atom. For the size of the total moment, the calculation gives 0.00 μB/f.u. The value obtained for the formation energy is -0.333 eV/atom.



No. 8
Below is a relaxed Nd3HoIn4 crystal, with properties calculated at the PBE-GGA level.

Geometry as POSCAR:
```
Nd3HoIn4
1.0
3.829 0.000 0.000
0.000 3.829 0.000
0.000 0.000 15.498
Nd Ho In
3 1 4
direct
0.000 0.000 0.000 Nd
0.000 0.000 0.256 Nd
0.000 0.000 0.744 Nd
0.000 0.000 0.500 Ho
0.500 0.500 0.128 In
0.500 0.500 0.385 In
0.500 0.500 0.615 In
0.500 0.500 0.872 In
```

Computed properties:
For the density of states at the Fermi level, the calculation gives 0.535 states/eV per atom. For the size of the total moment, the calculation gives 0.00 μB/f.u. The value obtained for the formation energy is -0.488 eV/atom. Its energy relative to the lowest polymorph listed for this composition is 0.000 eV per atom.



No. 9
Below is a relaxed BaCd5As4 crystal, with properties calculated at the PBE-GGA level.

Geometry as POSCAR:
```
BaCd5As4
1.0
-2.236 4.024 7.666
2.236 -4.024 7.666
2.236 4.024 -7.666
Ba Cd As
1 5 4
direct
0.000 0.000 0.000 Ba
0.036 0.327 0.709 Cd
0.381 0.673 0.709 Cd
0.500 0.000 0.500 Cd
0.619 0.327 0.291 Cd
0.964 0.673 0.291 Cd
0.226 0.226 0.000 As
0.293 0.500 0.793 As
0.707 0.500 0.207 As
0.774 0.774 0.000 As
```

Computed properties:
For the density of states at the Fermi level, the calculation gives 0.146 states/eV per atom. For the size of the total moment, the calculation gives 0.00 μB/f.u. The value obtained for the formation energy is -0.254 eV/atom.



No. 10
Below is a relaxed Tb4HgSb crystal, with properties calculated at the PBE-GGA level.

Geometry as POSCAR:
```
Tb4HgSb
1.0
8.304 -3.134 0.000
8.304 3.134 0.000
-1.418 0.000 7.157
Tb Hg Sb
8 2 2
direct
0.036 0.814 0.557 Tb
0.186 0.964 0.943 Tb
0.238 0.465 0.888 Tb
0.465 0.238 0.388 Tb
0.535 0.762 0.612 Tb
0.762 0.535 0.112 Tb
0.814 0.036 0.057 Tb
0.964 0.186 0.443 Tb
0.000 0.500 0.500 Hg
0.500 0.000 0.000 Hg
0.368 0.632 0.250 Sb
0.632 0.368 0.750 Sb
```

Computed properties:
For the density of states at the Fermi level, the calculation gives 1.042 states/eV per atom. For the size of the total moment, the calculation gives 0.00 μB/f.u. Its energy relative to the lowest polymorph listed for this composition is 0.207 eV per atom.



No. 11
Below is a relaxed Ho4ErAl2 crystal, with properties calculated at the PBE-GGA level.

Geometry as POSCAR:
```
Ho4ErAl2
1.0
6.750 0.000 0.000
0.000 10.284 0.000
-2.193 0.000 5.587
Ho Er Al
8 2 4
direct
0.000 0.161 0.000 Ho
0.000 0.290 0.500 Ho
0.000 0.710 0.500 Ho
0.000 0.839 0.000 Ho
0.500 0.210 0.500 Ho
0.500 0.339 0.000 Ho
0.500 0.661 0.000 Ho
0.500 0.790 0.500 Ho
0.000 0.500 0.000 Er
0.500 0.000 0.000 Er
0.183 0.000 0.482 Al
0.317 0.500 0.518 Al
0.683 0.500 0.482 Al
0.817 0.000 0.518 Al
```

Computed properties:
For the density of states at the Fermi level, the calculation gives 1.042 states/eV per atom. For the size of the total moment, the calculation gives 0.00 μB/f.u. The value obtained for the formation energy is -0.076 eV/atom. Its energy relative to the lowest polymorph listed for this composition is 0.000 eV per atom.